Compound: P5Os
Source: Alexandria via LeMat-Bulk
Functional: PBE-GGA
Structure: optimized geometry

Cell lengths 4.338, 4.338, 6.702 Å; angles 90.00, 90.00, 120.00 degrees
Fractional positions:
P 0.000 0.500 0.000
P 0.333 0.667 0.500
P 0.500 0.000 0.000
P 0.500 0.500 0.000
P 0.667 0.333 0.500
Os 0.000 0.000 0.500

**ΔE to the lowest computed polymorph**: 582.2 meV per atom
**Energy of formation**: 0.773 eV per atom
**DOS(E_F)**: 2.4 states/eV/f.u.
**Calculated total energy**: -5.61 eV per atom
**M_tot**: 0.0 μB/f.u.

---

Compound: POs3
Source: Alexandria via LeMat-Bulk
Functional: PBE-GGA
Structure: optimized geometry

Cell lengths 5.681, 5.681, 4.020 Å; angles 90.00, 90.00, 120.00 degrees
Fractional positions:
P 0.333 0.667 0.250
P 0.667 0.333 0.750
Os 0.174 0.348 0.750
Os 0.174 0.826 0.750
Os 0.348 0.174 0.250
Os 0.652 0.826 0.750
Os 0.826 0.174 0.250
Os 0.826 0.652 0.250

**ΔE to the lowest computed polymorph**: 455.6 meV per atom
**Energy of formation**: 0.566 eV per atom
**DOS(E_F)**: 2.5 states/eV/f.u.
**Calculated total energy**: -9.21 eV per atom
**M_tot**: 0.0 μB/f.u.

---

Compound: POs2
Source: Alexandria via LeMat-Bulk
Functional: PBE-GGA
Structure: optimized geometry

Cell lengths 3.675, 3.675, 3.877 Å; angles 90.00, 90.00, 120.00 degrees
Fractional positions:
P 0.000 0.000 0.000
Os 0.333 0.667 0.241
Os 0.667 0.333 0.759

**Energy of formation**: 0.459 eV per atom
**DOS(E_F)**: 2.8 states/eV/f.u.
**Calculated total energy**: -8.83 eV per atom
**M_tot**: 0.0 μB/f.u.

---

Compound: POs3
Source: Alexandria via LeMat-Bulk
Functional: PBE-GGA
Structure: optimized geometry

Cell lengths 6.108, 6.108, 6.108 Å; angles 90.00, 90.00, 90.00 degrees
Fractional positions:
P 0.000 0.000 0.000
P 0.000 0.500 0.500
P 0.500 0.000 0.500
P 0.500 0.500 0.000
Os 0.000 0.000 0.500
Os 0.000 0.500 0.000
Os 0.250 0.250 0.250
Os 0.250 0.250 0.750
Os 0.250 0.750 0.250
Os 0.250 0.750 0.750
Os 0.500 0.000 0.000
Os 0.500 0.500 0.500
Os 0.750 0.250 0.250
Os 0.750 0.250 0.750
Os 0.750 0.750 0.250
Os 0.750 0.750 0.750

**ΔE to the lowest computed polymorph**: 583.8 meV per atom
**Energy of formation**: 0.694 eV per atom
**DOS(E_F)**: 4.1 states/eV/f.u.
**Calculated total energy**: -9.08 eV per atom
**M_tot**: 0.0 μB/f.u.